Entry 1:
Ho2ScCl PBE optimized geometry; ΔE_f (raw) = -330 meV/atom; M_tot = 0.68 μB/cell; calculated density = 6.5 g cm⁻³; Fermi-level density of states = 5.8 states/eV per cell; total DFT energy (no corrections) = -18.654 eV/cell
1.0
-0.205 -1.918 -2.728
2.572 -1.946 -0.871
-3.307 -9.387 4.802
Sc Ho Cl
1 2 1
Cartesian
0.000 0.000 0.000
-2.102 -7.005 3.037
1.163 -6.247 -1.833
-0.469 -6.626 0.602


Entry 2:
Ac7PrNd4 PBE optimized geometry; M_tot = 0.00 μB/cell; calculated density = 7.8 g cm⁻³; formation energy from the elements = 0.0297 eV per atom; Fermi-level density of states = 20.5 states/eV per cell; total DFT energy (no corrections) = -52.254 eV/cell
1.0
7.432 1.981 0.957
5.551 8.251 2.634
-1.049 -0.490 9.589
Ac Pr Nd
7 1 4
Cartesian
8.352 5.628 2.081
3.581 4.114 11.098
8.104 3.930 8.031
3.829 5.811 5.149
5.267 6.543 8.671
3.716 0.991 0.478
6.666 3.199 4.509
0.000 0.000 0.000
7.590 6.870 5.597
4.343 2.872 7.583
8.977 7.549 9.133
2.957 2.193 4.046


Entry 3:
Zn2Hg2H PBE optimized geometry; M_tot = 0.00 μB/cell; calculated density = 10.1 g cm⁻³; Fermi-level density of states = 3.0 states/eV per cell; total DFT energy (no corrections) = -10.353 eV/cell
1.0
5.652 0.000 0.000
0.000 5.652 0.000
0.000 0.000 5.464
H Zn Hg
2 4 4
Cartesian
0.000 0.000 0.000
2.826 2.826 0.000
1.848 4.674 0.000
4.674 3.804 0.000
3.804 0.978 0.000
0.978 1.848 0.000
1.056 3.882 2.732
3.882 4.596 2.732
4.596 1.770 2.732
1.770 1.056 2.732


Entry 4:
PrPaIr4 PBE optimized geometry; M_tot = 0.00 μB/cell; calculated density = 17.0 g cm⁻³; formation energy from the elements = -0.6850 eV per atom; Fermi-level density of states = 7.4 states/eV per cell; total DFT energy (no corrections) = -53.829 eV/cell
1.0
-1.150 2.568 -4.616
-2.420 -2.655 -4.040
-5.137 1.109 -1.269
Pr Pa Ir
1 1 4
Cartesian
-2.177 0.256 -2.481
0.000 0.000 0.000
-2.873 0.085 -5.568
-4.232 1.967 -4.182
-5.442 0.639 -6.203
-4.867 -0.645 -3.895


Entry 5:
Pm3Ho2ThSe6 PBE optimized geometry; ΔE_f (raw) = -1743 meV/atom; M_tot = 0.00 μB/cell; calculated density = 8.0 g cm⁻³; Fermi-level density of states = 6.5 states/eV per cell; total DFT energy (no corrections) = -72.649 eV/cell
1.0
-1.705 -3.757 0.087
6.991 -3.093 3.398
-3.956 4.227 7.220
Pm Ho Th Se
3 2 1 6
Cartesian
2.643 -3.425 1.742
-2.955 -0.798 5.536
4.286 -1.825 5.168
0.607 -2.376 7.181
0.724 -0.247 3.523
-0.852 -1.879 0.043
3.157 -1.251 7.862
1.540 -2.861 4.482
-1.826 -1.372 2.843
1.740 -0.768 0.947
-0.410 -1.855 9.757
-0.209 0.238 6.222


Entry 6:
Tb2Cu2Pt PBE optimized geometry; M_tot = 0.00 μB/cell; calculated density = 10.4 g cm⁻³; formation energy from the elements = -0.6068 eV per atom; Fermi-level density of states = 6.2 states/eV per cell; total DFT energy (no corrections) = -53.055 eV/cell
1.0
-1.178 2.688 -2.770
-4.415 2.799 1.655
4.724 8.425 3.228
Tb Cu Pt
4 4 2
Cartesian
-0.981 2.567 -0.031
1.130 7.813 1.223
0.112 11.346 2.145
-2.000 6.099 0.891
2.377 10.597 0.454
0.744 4.931 1.530
-3.247 3.316 1.660
-1.613 8.981 0.584
0.129 5.117 -0.968
-0.999 8.796 3.082


Q: Fermi-level density of states of number 6 (Tb2Cu2Pt)?
A: 6.2 states/eV per cell


Please write out number 3 again, unchanged.
Zn2Hg2H PBE optimized geometry; M_tot = 0.00 μB/cell; calculated density = 10.1 g cm⁻³; Fermi-level density of states = 3.0 states/eV per cell; total DFT energy (no corrections) = -10.353 eV/cell
1.0
5.652 0.000 0.000
0.000 5.652 0.000
0.000 0.000 5.464
H Zn Hg
2 4 4
Cartesian
0.000 0.000 0.000
2.826 2.826 0.000
1.848 4.674 0.000
4.674 3.804 0.000
3.804 0.978 0.000
0.978 1.848 0.000
1.056 3.882 2.732
3.882 4.596 2.732
4.596 1.770 2.732
1.770 1.056 2.732


Q: Which formula does entry 4 have?
A: PrPaIr4


What did the second record say?
Ac7PrNd4 PBE optimized geometry; M_tot = 0.00 μB/cell; calculated density = 7.8 g cm⁻³; formation energy from the elements = 0.0297 eV per atom; Fermi-level density of states = 20.5 states/eV per cell; total DFT energy (no corrections) = -52.254 eV/cell
1.0
7.432 1.981 0.957
5.551 8.251 2.634
-1.049 -0.490 9.589
Ac Pr Nd
7 1 4
Cartesian
8.352 5.628 2.081
3.581 4.114 11.098
8.104 3.930 8.031
3.829 5.811 5.149
5.267 6.543 8.671
3.716 0.991 0.478
6.666 3.199 4.509
0.000 0.000 0.000
7.590 6.870 5.597
4.343 2.872 7.583
8.977 7.549 9.133
2.957 2.193 4.046